[1]
! PBE-GGA ScTcAg, optimized geometry; values from VASP
! Excess energy over the best structure of this formula in the dataset: 13 meV per atom
&SYSTEM
  ibrav = 0, nat = 3, ntyp = 3
/
ATOMIC_SPECIES
Ag 107.87 Ag.upf
Tc 98.00 Tc.upf
Sc 44.96 Sc.upf
ATOMIC_POSITIONS angstrom
Ag -0.013 -0.053 -0.024
Tc -1.960 -7.772 -3.489
Sc -0.957 -3.795 -1.704
CELL_PARAMETERS angstrom
-3.098 -5.014 -3.463
0.167 -6.605 -1.753
0.388 5.350 4.238

---

[2]
Crystalline Sc5TcAg2 at its relaxed geometry, computed with PBE-GGA. Values from VASP.

```
&SYSTEM
  ibrav = 0, nat = 16, ntyp = 3
/
ATOMIC_SPECIES
Ag 107.87 Ag.upf
Sc 44.96 Sc.upf
Tc 98.00 Tc.upf
ATOMIC_POSITIONS angstrom
Ag 2.353 0.877 9.975
Ag 2.353 5.159 1.498
Ag 2.353 3.896 7.234
Ag 2.353 2.141 4.239
Sc 0.000 2.249 8.932
Sc 2.353 5.057 4.529
Sc 0.000 0.770 3.196
Sc 0.000 5.267 8.277
Sc 2.353 3.998 10.265
Sc 0.000 0.000 0.000
Sc 0.000 3.018 5.736
Sc 2.353 0.980 6.944
Sc 2.353 2.039 1.207
Sc 0.000 3.788 2.540
Tc 0.000 3.018 0.000
Tc 0.000 0.000 5.736
CELL_PARAMETERS angstrom
4.705 0.000 0.000
0.000 6.036 0.000
0.000 0.000 11.473
```

---

[3]
! PBE-GGA ScTc2Ag, optimized geometry; values from VASP
! Excess energy over the best structure of this formula in the dataset: 253 meV per atom
&SYSTEM
  ibrav = 0, nat = 4, ntyp = 3
/
ATOMIC_SPECIES
Tc 98.00 Tc.upf
Sc 44.96 Sc.upf
Ag 107.87 Ag.upf
ATOMIC_POSITIONS angstrom
Tc 0.000 1.571 2.592
Tc 0.000 0.726 4.888
Sc 2.385 2.556 3.725
Ag 2.385 0.852 1.242
CELL_PARAMETERS angstrom
4.771 0.000 0.000
0.000 2.816 -0.031
0.000 0.593 4.997

---

[4]
! PBE-GGA ScTcAg, optimized geometry; values from VASP
! Excess energy over the best structure of this formula in the dataset: 562 meV per atom
&SYSTEM
  ibrav = 0, nat = 3, ntyp = 3
/
ATOMIC_SPECIES
Ag 107.87 Ag.upf
Tc 98.00 Tc.upf
Sc 44.96 Sc.upf
ATOMIC_POSITIONS angstrom
Ag 0.000 0.000 0.000
Tc 6.732 3.887 2.749
Sc 4.488 2.591 1.832
CELL_PARAMETERS angstrom
4.488 0.000 0.000
2.244 3.887 0.000
2.244 1.296 3.665

---

| no. | N(E_F) (states/eV per cell) | energy of formation (kJ/mol of atoms) |
| --- | --- | --- |
| 1 | 3.44 | 17.0 |
| 2 | 13.12 | -21.4 |
| 3 | 3.75 | 21.5 |
| 4 | 3.68 | 70.0 |